Record 1
Compound: Pa3MoC
Source: OQMD via LeMat-Bulk
Functional: GGA-PBE
Structure: relaxed

Cell lengths 4.731, 4.731, 4.731 Å; angles 90.00, 90.00, 90.00 degrees
Fractional positions:
C (0.000, 0.000, 0.000)
Mo (0.500, 0.500, 0.500)
Pa (0.500, 0.000, 0.000)
Pa (0.000, 0.500, 0.000)
Pa (0.000, 0.000, 0.500)

Properties
calculated volume: 21.174 Å³/atom
raw total energy: -9.567 eV/atom
theoretical density: 12.6 Mg/m³
SG: Pm-3m (221)

---

Record 2
Compound: RbHfO2F
Source: OQMD via LeMat-Bulk
Functional: GGA-PBE
Structure: relaxed

Cell lengths 4.093, 4.093, 4.272 Å; angles 90.00, 90.00, 90.00 degrees
Fractional positions:
F (0.000, 0.000, 0.000)
Hf (0.000, 0.000, 0.500)
O (0.500, 0.000, 0.500)
O (0.000, 0.500, 0.500)
Rb (0.500, 0.500, 0.000)

Properties
calculated volume: 14.310 Å³/atom
raw total energy: -7.565 eV/atom
theoretical density: 7.3 Mg/m³
SG: P4/mmm (123)

---

Record 3
Compound: ZrCdAsO
Source: OQMD via LeMat-Bulk
Functional: GGA-PBE
Structure: relaxed

Cell lengths 4.117, 6.869, 5.607 Å; angles 90.00, 90.00, 90.00 degrees
Fractional positions:
As (0.000, 0.278, 0.397)
As (0.000, 0.722, 0.897)
Cd (0.500, 0.928, 0.034)
Cd (0.500, 0.072, 0.534)
O (0.500, 0.722, 0.416)
O (0.500, 0.278, 0.916)
Zr (0.000, 0.670, 0.406)
Zr (0.000, 0.330, 0.906)

Properties
calculated volume: 19.823 Å³/atom
relative energy among the computed polymorphs: 9.6 kJ/mol of atoms
theoretical density: 6.2 Mg/m³
SG: Pmc2_1 (26)

---

Record 4
Compound: PmGdZn
Source: OQMD via LeMat-Bulk
Functional: GGA-PBE
Structure: relaxed

Cell lengths 5.012, 5.012, 5.012 Å; angles 60.00, 60.00, 60.00 degrees
Fractional positions:
Gd (0.250, 0.250, 0.250)
Pm (0.750, 0.750, 0.750)
Zn (0.000, 0.000, 0.000)

Properties
E_form: 2.5 kJ per mole of atoms
calculated volume: 29.678 Å³/atom
relative energy among the computed polymorphs: 0.0 kJ/mol of atoms
theoretical density: 6.9 Mg/m³
SG: F-43m (216)

---

Record 5
Compound: HfTl2C
Source: OQMD via LeMat-Bulk
Functional: GGA-PBE
Structure: relaxed

Cell lengths 3.342, 3.342, 16.364 Å; angles 90.00, 90.00, 120.00 degrees
Fractional positions:
C (0.000, 0.000, 0.000)
C (0.000, 0.000, 0.500)
Hf (0.667, 0.333, 0.250)
Hf (0.333, 0.667, 0.750)
Tl (0.333, 0.667, 0.096)
Tl (0.333, 0.667, 0.404)
Tl (0.667, 0.333, 0.596)
Tl (0.667, 0.333, 0.904)

Properties
calculated volume: 19.786 Å³/atom
raw total energy: -4.793 eV/atom
theoretical density: 12.6 Mg/m³
SG: P6_3/mmc (194)

---

Record 6
Compound: Li2PrP2Pd
Source: OQMD via LeMat-Bulk
Functional: GGA-PBE
Structure: relaxed

Cell lengths 4.141, 4.141, 6.666 Å; angles 90.00, 90.00, 120.00 degrees
Fractional positions:
Li (0.333, 0.667, 0.356)
Li (0.667, 0.333, 0.644)
P (0.667, 0.333, 0.267)
P (0.333, 0.667, 0.733)
Pd (0.000, 0.000, 0.500)
Pr (0.000, 0.000, 0.000)

Properties
calculated volume: 16.500 Å³/atom
raw total energy: -4.928 eV/atom
theoretical density: 5.4 Mg/m³
SG: P-3m1 (164)

---

Record 7
Compound: Be2Fe3Si2
Source: OQMD via LeMat-Bulk
Functional: GGA-PBE
Structure: relaxed

Cell lengths 6.312, 6.312, 6.312 Å; angles 35.18, 35.18, 35.18 degrees
Each line ends with the local moment (μB).
Fractional positions:
Be (0.242, 0.242, 0.242)  -0.03
Be (0.771, 0.771, 0.771)  -0.03
Fe (0.112, 0.112, 0.112)  0.72
Fe (0.377, 0.377, 0.377)  2.01
Fe (0.635, 0.635, 0.635)  0.16
Si (0.509, 0.509, 0.509)  -0.03
Si (0.978, 0.978, 0.978)  -0.01

Properties
calculated volume: 10.651 Å³/atom
raw total energy: -6.423 eV/atom
theoretical density: 5.4 Mg/m³
SG: R3m (160)

---

Record 8
Compound: TmZnPbS3
Source: OQMD via LeMat-Bulk
Functional: GGA-PBE
Structure: relaxed

Cell lengths 7.405, 7.405, 10.359 Å; angles 90.00, 90.00, 150.27 degrees
Fractional positions:
Pb (0.741, 0.259, 0.250)
Pb (0.259, 0.741, 0.750)
S (0.370, 0.630, 0.046)
S (0.050, 0.950, 0.250)
S (0.370, 0.630, 0.454)
S (0.630, 0.370, 0.546)
S (0.950, 0.050, 0.750)
S (0.630, 0.370, 0.954)
Tm (0.000, 0.000, 0.000)
Tm (0.000, 0.000, 0.500)
Zn (0.443, 0.557, 0.250)
Zn (0.557, 0.443, 0.750)

Properties
calculated volume: 23.476 Å³/atom
raw total energy: -4.642 eV/atom
theoretical density: 6.3 Mg/m³
SG: Cmcm (63)

---

Record 9
Compound: Ba2AgAs
Source: OQMD via LeMat-Bulk
Functional: GGA-PBE
Structure: relaxed

Cell lengths 5.587, 5.587, 5.587 Å; angles 60.00, 60.00, 60.00 degrees
Fractional positions:
Ag (0.750, 0.750, 0.750)
As (0.000, 0.000, 0.000)
Ba (0.250, 0.250, 0.250)
Ba (0.500, 0.500, 0.500)

Properties
calculated volume: 30.831 Å³/atom
raw total energy: -3.038 eV/atom
theoretical density: 6.2 Mg/m³
SG: F-43m (216)

---

Record 10
Compound: PdS2
Source: OQMD via LeMat-Bulk
Functional: GGA-PBE
Structure: relaxed

Cell lengths 4.102, 4.102, 7.096 Å; angles 90.00, 90.00, 120.37 degrees
Fractional positions:
Pd (0.666, 0.334, 0.250)
Pd (0.334, 0.666, 0.750)
S (0.000, 0.000, 0.000)
S (0.334, 0.666, 0.250)
S (0.000, 0.000, 0.500)
S (0.666, 0.334, 0.750)

Properties
calculated volume: 17.167 Å³/atom
raw total energy: -3.955 eV/atom
theoretical density: 5.5 Mg/m³
SG: Cmcm (63)

---

Record 11
Compound: TlNi3SnS2
Source: OQMD via LeMat-Bulk
Functional: GGA-PBE
Structure: relaxed

Cell lengths 5.526, 5.526, 5.526 Å; angles 59.87, 59.87, 59.87 degrees
Each line ends with the local moment (μB).
Fractional positions:
Ni (0.500, 0.500, 0.000)  0.06
Ni (0.500, 0.000, 0.500)  0.05
Ni (0.000, 0.500, 0.500)  0.04
S (0.223, 0.223, 0.223)  0.01
S (0.777, 0.777, 0.777)  0.01
Sn (0.000, 0.000, 0.000)  0.00
Tl (0.500, 0.500, 0.500)  0.01

Properties
calculated volume: 16.998 Å³/atom
relative energy among the computed polymorphs: 0.0 kJ/mol of atoms
theoretical density: 7.9 Mg/m³
SG: R-3m (166)

---

Record 12
Compound: CoH6Pt
Source: OQMD via LeMat-Bulk
Functional: GGA-PBE
Structure: relaxed

Cell lengths 4.160, 4.160, 4.295 Å; angles 61.06, 61.11, 60.02 degrees
Each line ends with the local moment (μB).
Fractional positions:
Co (0.000, 0.000, 0.000)  0.82
H (0.583, 0.250, 0.238)  0.00
H (0.249, 0.929, 0.239)  0.00
H (0.928, 0.583, 0.239)  0.00
H (0.072, 0.417, 0.760)  0.00
H (0.751, 0.071, 0.761)  0.00
H (0.417, 0.750, 0.762)  0.00
Pt (0.500, 0.500, 0.500)  0.16

Properties
calculated volume: 6.676 Å³/atom
raw total energy: -3.984 eV/atom
theoretical density: 8.1 Mg/m³
SG: R-3 (148)